# TiNiP2O8

A relaxed TiNiP2O8 crystal (PBE with a Hubbard U, the Alexandria database).

Properties
offset from the most stable computed form = 13 meV/atom
magnetization = 1.99 μB/f.u.

Structure (CIF):
```
data_TiNiP2O8
_symmetry_space_group_name_H-M 'P 1 21/m 1'
_symmetry_Int_Tables_number 11
_symmetry_space_group_name_Hall '-P 2yb'
_cell_length_a 4.884
_cell_length_b 5.890
_cell_length_c 9.937
_cell_angle_alpha 90.00
_cell_angle_beta 91.15
_cell_angle_gamma 90.00
loop_
_atom_site_label
_atom_site_type_symbol
_atom_site_fract_x
_atom_site_fract_y
_atom_site_fract_z
_atom_site_occupancy
Ti1 Ti 0.036 0.250 0.226 1
Ni1 Ni 0.456 0.250 0.726 1
P1 P 0.067 0.750 0.098 1
P2 P 0.385 0.750 0.595 1
O1 O 0.145 0.750 0.946 1
O2 O 0.212 0.543 0.171 1
O3 O 0.235 0.550 0.670 1
O4 O 0.240 0.250 0.891 1
O5 O 0.307 0.250 0.364 1
O6 O 0.344 0.750 0.446 1
```